No. 1
Computed, not measured: a relaxed structure of RuPtAu2 at the GGA-PBE level of DFT.

Unit cell a=9.5221 b=9.5221 c=9.5221 alpha=17.12 beta=17.12 gamma=17.12
With the nearest neighbours (Å) after each atom.
Fractional coordinates of all 4 atoms:
Au  0.0015  0.0015  0.0015  3 Ru 2.82, 6 Au 2.83, 3 Pt 2.89
Au  0.4985  0.4985  0.4985  3 Ru 2.82, 6 Au 2.83, 3 Pt 2.89
Pt  0.2500  0.2500  0.2500  6 Pt 2.83, 6 Au 2.89
Ru  0.7500  0.7500  0.7500  6 Au 2.82, 6 Ru 2.83

DFT total energy	-5.2321	eV/atom
ΔE to the lowest computed polymorph	95	meV/atom
space group	No. 166
energy of formation	0.236	eV/atom
calculated volume	16.321	A^3/atom



No. 2
Computed, not measured: a relaxed structure of Ru2PtAu at the GGA-PBE level of DFT.

Unit cell a=4.4772 b=4.4772 c=4.4772 alpha=60.00 beta=60.00 gamma=60.00
With the nearest neighbours (Å) after each atom.
Fractional coordinates of all 4 atoms:
Au  0.5000  0.5000  0.5000  4 Pt 2.74, 4 Ru 2.74
Pt  0.7500  0.7500  0.7500  4 Au 2.74, 4 Ru 2.74
Ru  0.0000  0.0000  0.0000  4 Ru 2.74, 4 Pt 2.74
Ru  0.2500  0.2500  0.2500  4 Ru 2.74, 4 Au 2.74

DFT total energy	-6.4784	eV/atom
ΔE to the lowest computed polymorph	396	meV/atom
space group	No. 216
energy of formation	0.489	eV/atom
calculated volume	15.865	A^3/atom



No. 3
Computed, not measured: a relaxed structure of RuPtAu2 at the GGA-PBE level of DFT.

Unit cell a=4.9559 b=4.9559 c=4.9559 alpha=131.88 beta=131.88 gamma=70.41
With the nearest neighbours (Å) after each atom.
Fractional coordinates of all 4 atoms:
Au  0.0000  0.0000  0.0000  4 Pt 2.86, 4 Au 2.86, 4 Ru 2.86
Au  0.2500  0.7500  0.5000  4 Ru 2.86, 4 Pt 2.86, 4 Au 2.86
Pt  0.5000  0.5000  0.0000  8 Au 2.86, 4 Ru 2.86
Ru  0.7500  0.2500  0.5000  8 Au 2.86, 4 Pt 2.86

DFT total energy	-5.1715	eV/atom
ΔE to the lowest computed polymorph	155	meV/atom
space group	No. 119
energy of formation	0.296	eV/atom
calculated volume	16.528	A^3/atom



No. 4
Computed, not measured: a relaxed structure of RuPt2Au at the GGA-PBE level of DFT.

Unit cell a=4.8523 b=4.8523 c=4.9308 alpha=80.39 beta=80.39 gamma=33.57
With the nearest neighbours (Å) after each atom.
Fractional coordinates of all 4 atoms:
Au  0.7500  0.7500  0.7500  6 Pt 2.79-2.87, 2 Au 2.80, 4 Ru 2.84
Pt  0.9934  0.9934  0.0115  3 Ru 2.74-2.84, 6 Pt 2.76-2.92, 3 Au 2.79-2.87
Pt  0.5066  0.5066  0.4885  3 Ru 2.74-2.84, 6 Pt 2.76-2.92, 3 Au 2.79-2.87
Ru  0.2500  0.2500  0.2500  6 Pt 2.74-2.84, 2 Ru 2.80, 4 Au 2.84

DFT total energy	-5.9963	eV/atom
ΔE to the lowest computed polymorph	122	meV/atom
space group	No. 12
energy of formation	0.162	eV/atom
calculated volume	15.802	A^3/atom



No. 5
Computed, not measured: a relaxed structure of RuPtAu2 at the GGA-PBE level of DFT.

Unit cell a=3.9958 b=3.9958 c=4.1550 alpha=90.00 beta=90.00 gamma=90.00
With the nearest neighbours (Å) after each atom.
Fractional coordinates of all 4 atoms:
Au  0.0000  0.0000  0.0000  4 Au 2.83, 4 Ru 2.88, 4 Pt 2.88
Au  0.5000  0.5000  0.0000  4 Au 2.83, 4 Ru 2.88, 4 Pt 2.88
Pt  0.5000  0.0000  0.5000  4 Ru 2.83, 8 Au 2.88
Ru  0.0000  0.5000  0.5000  4 Pt 2.83, 8 Au 2.88

DFT total energy	-5.0924	eV/atom
ΔE to the lowest computed polymorph	234	meV/atom
space group	No. 123
energy of formation	0.375	eV/atom
calculated volume	16.585	A^3/atom



No. 6
Computed, not measured: a relaxed structure of Ru2PtAu at the GGA-PBE level of DFT.

Unit cell a=3.9344 b=3.9343 c=3.9512 alpha=90.00 beta=90.00 gamma=90.00
With the nearest neighbours (Å) after each atom.
Fractional coordinates of all 4 atoms:
Au  0.5000  0.0000  0.5000  4 Pt 2.78, 8 Ru 2.79
Pt  0.0000  0.5000  0.5000  4 Au 2.78, 8 Ru 2.79
Ru  0.0000  0.0000  0.0000  4 Ru 2.78, 4 Pt 2.79, 4 Au 2.79
Ru  0.5000  0.5000  0.0000  4 Ru 2.78, 4 Au 2.79, 4 Pt 2.79

DFT total energy	-6.6292	eV/atom
ΔE to the lowest computed polymorph	246	meV/atom
space group	No. 123
energy of formation	0.338	eV/atom
calculated volume	15.290	A^3/atom



No. 7
Computed, not measured: a relaxed structure of RuPtAu2 at the GGA-PBE level of DFT.

Unit cell a=5.6609 b=5.6609 c=5.6609 alpha=151.36 beta=129.08 gamma=59.47
With the nearest neighbours (Å) after each atom.
Fractional coordinates of all 4 atoms:
Au  0.0024  0.0024  0.0000  6 Au 2.80-2.81, 2 Ru 2.81, 2 Pt 2.85
Au  0.4976  0.4976  0.0000  6 Au 2.80-2.81, 2 Ru 2.81, 2 Pt 2.85
Pt  0.7500  0.2500  0.5000  2 Pt 2.80, 4 Ru 2.81, 4 Au 2.85
Ru  0.2500  0.7500  0.5000  2 Ru 2.80, 4 Pt 2.81, 4 Au 2.81

DFT total energy	-5.1436	eV/atom
ΔE to the lowest computed polymorph	183	meV/atom
space group	No. 71
energy of formation	0.324	eV/atom
calculated volume	16.747	A^3/atom



No. 8
Computed, not measured: a relaxed structure of RuPtAu2 at the GGA-PBE level of DFT.

Unit cell a=7.3754 b=7.3754 c=5.8775 alpha=51.14 beta=51.14 gamma=90.00
With the nearest neighbours (Å) after each atom.
Fractional coordinates of all 8 atoms:
Ru  0.5000  0.5000  0.0000  4 Au 2.68, 2 Pt 2.71
Ru  0.2500  0.7500  0.5000  4 Au 2.68, 2 Pt 2.71
Au  0.6220  0.1250  0.2500  2 Ru 2.68, 2 Pt 2.71, 2 Au 2.71
Au  0.1280  0.6250  0.2500  2 Ru 2.68, 2 Pt 2.71, 2 Au 2.71
Au  0.3750  0.3780  0.7500  2 Ru 2.68, 2 Pt 2.71, 2 Au 2.71
Au  0.8750  0.8720  0.7500  2 Ru 2.68, 2 Pt 2.71, 2 Au 2.71
Pt  0.0000  0.0000  0.0000  4 Au 2.71, 2 Ru 2.71
Pt  0.7500  0.2500  0.5000  4 Au 2.71, 2 Ru 2.71

DFT total energy	-4.7774	eV/atom
ΔE to the lowest computed polymorph	549	meV/atom
space group	No. 122
energy of formation	0.690	eV/atom
calculated volume	18.430	A^3/atom